# CoRe2Os

A relaxed structure of CoRe2Os (PBE-GGA, Alexandria).

Lattice parameters (Å, degrees): 2.722 4.293 4.706 90.00 90.00 90.00
Space group Pmm2 (No. 25)
Inequivalent atoms, fractional coordinates:
Co 0.000 0.000 0.000
Re 0.500 0.000 0.485
Re 0.500 0.500 0.147
Os 0.000 0.500 0.664

Energy relative to the elements, eV/atom: -0.052
Total magnetic moment, μB/f.u.: 0.00
Total energy, eV per atom: -10.860